## Sn3AsC (PBE-GGA)

Data for a relaxed structure of Sn3AsC.

Energy, Ha/atom: -0.12512
DFT formation energy, eV/atom: 1.77

a b c (Å): 5.4563 5.4563 5.4563
angles (deg): 90.00 90.00 90.00
Atoms (fractional coordinates):
Sn 0.0000 0.0000 0.5000
Sn 0.0000 0.5000 0.0000
Sn 0.5000 0.0000 0.0000
As 0.0000 0.0000 0.0000
C 0.5000 0.5000 0.5000